Ce5ErSb6 | PBE | relaxed

CIF file:
```
data_Ce5ErSb6
_chemical_formula_sum 'Ce5 Er1 Sb6'
_symmetry_space_group_name_H-M 'P 1'
_symmetry_Int_Tables_number 1
_symmetry_space_group_name_Hall 'P 1'
_cell_length_a 7.755
_cell_length_b 7.755
_cell_length_c 7.748
_cell_angle_alpha 99.61
_cell_angle_beta 99.61
_cell_angle_gamma 119.99
loop_
_atom_site_label
_atom_site_type_symbol
_atom_site_fract_x
_atom_site_fract_y
_atom_site_fract_z
Ce1 Ce 0.000 0.000 0.000
Ce2 Ce 0.166 0.834 0.500
Ce3 Ce 0.331 0.669 0.000
Ce4 Ce 0.669 0.331 0.000
Ce5 Ce 0.834 0.166 0.500
Er1 Er 0.500 0.500 0.500
Sb1 Sb 0.089 0.418 0.254
Sb2 Sb 0.255 0.255 0.749
Sb3 Sb 0.418 0.089 0.254
Sb4 Sb 0.582 0.911 0.746
Sb5 Sb 0.745 0.745 0.251
Sb6 Sb 0.911 0.582 0.746
```

Results
The total energy comes out at -71.52 eV for the cell shown. The formation energy (no corrections) is -1046 meV/atom. Its total magnetization is 4.1 μB/cell. The crystal system is monoclinic. For the density of states at the Fermi level, the calculation gives 2.7178 states/eV per atom.